# PBE-GGA Tm5CuIr4, optimized geometry
data_Tm5CuIr4
_chemical_formula_sum 'Tm5 Cu1 Ir4'
_cell_length_a 3.362
_cell_length_b 3.362
_cell_length_c 17.254
_cell_angle_alpha 90.00
_cell_angle_beta 90.00
_cell_angle_gamma 90.00
_space_group_name_H-M_alt 'P 1'
_space_group_IT_number 1
loop_
_space_group_symop_operation_xyz
'x,y,z'
loop_
_atom_site_label
_atom_site_fract_x
_atom_site_fract_y
_atom_site_fract_z
Tm1 0.000 0.000 0.000
Tm2 0.000 0.000 0.199
Tm3 0.000 0.000 0.397
Tm4 0.000 0.000 0.603
Tm5 0.000 0.000 0.801
Cu1 0.500 0.500 0.500
Ir1 0.500 0.500 0.100
Ir2 0.500 0.500 0.300
Ir3 0.500 0.500 0.700
Ir4 0.500 0.500 0.900
# magnetization	0.001	μB per atom
# density	14.3	Mg/m³
# density of states at the Fermi level	0.8284	states/eV per atom
# volume	195.1	Å³/cell
# DFT formation energy	-794.4	meV/atom